1.
7
Lattice="2.362 1.364 8.112 -2.362 1.364 8.112 0.000 -2.727 8.112" Properties=species:S:1:pos:R:3 comment="CePu2Ga2Au2 | Alexandria | GGA-PBE | optimized geometry" energy_ev_per_atom=-7.198 dos_ef_per_ev_atom=2.1306 magnetic_moment_mub_per_cell=12.14 pbc="T T T"
Ce 0.000 0.000 0.000
Pu 0.000 0.000 3.191
Pu 0.000 0.000 21.144
Ga 0.000 0.000 6.377
Ga 0.000 0.000 17.958
Au 0.000 0.000 9.805
Au 0.000 0.000 14.530

---

2.
4
Lattice="3.861 0.000 0.000 0.000 3.861 0.000 0.000 0.000 6.266" Properties=species:S:1:pos:R:3 comment="CePuGaAu | Alexandria | GGA-PBE | optimized geometry" energy_ev_per_atom=-7.087 e_above_lowest_polymorph_mev_per_atom=0 dos_ef_per_ev_atom=2.7418 magnetic_moment_mub_per_cell=6.64 pbc="T T T"
Ce 0.000 0.000 0.000
Pu 0.000 0.000 2.941
Ga 1.931 1.931 1.524
Au 1.931 1.931 4.610

---

3.
10
Lattice="4.139 0.000 0.000 0.000 4.139 0.000 0.000 0.000 11.010" Properties=species:S:1:pos:R:3 comment="Ce2Ga4Rh3Au | Alexandria | GGA-PBE | optimized geometry" energy_ev_per_atom=-5.634 dos_ef_per_ev_atom=1.2998 magnetic_moment_mub_per_cell=1.06 pbc="T T T"
Ce 0.000 2.069 2.603
Ce 2.069 0.000 8.407
Ga 0.000 0.000 0.000
Ga 0.000 2.069 7.022
Ga 2.069 0.000 3.988
Ga 2.069 2.069 0.000
Rh 0.000 2.069 9.500
Rh 2.069 0.000 1.510
Rh 2.069 2.069 5.505
Au 0.000 0.000 5.505

---

4.
10
Lattice="4.357 0.000 0.000 0.000 4.357 0.000 0.000 0.000 10.640" Properties=species:S:1:pos:R:3 comment="Ce2Ga4RhAu3 | Alexandria | GGA-PBE | optimized geometry" energy_ev_per_atom=-4.731 dos_ef_per_ev_atom=1.5037 magnetic_moment_mub_per_cell=1.99 pbc="T T T"
Ce 0.000 2.178 2.612
Ce 2.178 0.000 8.028
Ga 0.000 0.000 5.320
Ga 0.000 2.178 9.305
Ga 2.178 0.000 1.334
Ga 2.178 2.178 5.320
Rh 2.178 2.178 0.000
Au 0.000 0.000 0.000
Au 0.000 2.178 6.785
Au 2.178 0.000 3.854

---

5.
8
Lattice="2.196 1.268 8.901 -2.196 1.268 8.901 0.000 -2.536 8.901" Properties=species:S:1:pos:R:3 comment="CeGa4RhAu2 | Alexandria | GGA-PBE | optimized geometry" energy_ev_per_atom=-4.441 dos_ef_per_ev_atom=1.2220 magnetic_moment_mub_per_cell=0.79 pbc="T T T"
Ce 0.000 0.000 0.000
Ga 0.000 0.000 3.618
Ga 0.000 0.000 10.674
Ga 0.000 0.000 16.029
Ga 0.000 0.000 23.085
Rh 0.000 0.000 13.351
Au 0.000 0.000 6.569
Au 0.000 0.000 20.133

---

6.
6
Lattice="4.492 0.000 0.000 -2.246 3.890 0.000 0.000 0.000 7.111" Properties=species:S:1:pos:R:3 comment="CeScGa2Au2 | Alexandria | GGA-PBE | optimized geometry" energy_ev_per_atom=-4.863 dos_ef_per_ev_atom=1.0759 magnetic_moment_mub_per_cell=0.75 pbc="T T T"
Ce 0.000 0.000 0.000
Sc 0.000 0.000 3.556
Ga 0.000 2.593 5.127
Ga 2.246 1.297 1.984
Au 0.000 2.593 2.079
Au 2.246 1.297 5.032

---

7.
8
Lattice="2.349 1.356 8.917 -2.349 1.356 8.917 0.000 -2.712 8.917" Properties=species:S:1:pos:R:3 comment="CeSc2GaAu4 | Alexandria | GGA-PBE | optimized geometry" energy_ev_per_atom=-4.973 dos_ef_per_ev_atom=1.2111 magnetic_moment_mub_per_cell=1.04 pbc="T T T"
Ce 0.000 0.000 0.000
Sc 0.000 0.000 6.231
Sc 0.000 0.000 20.521
Ga 0.000 0.000 13.376
Au 0.000 0.000 3.233
Au 0.000 0.000 10.581
Au 0.000 0.000 16.171
Au 0.000 0.000 23.519

---

8.
10
Lattice="4.291 0.000 0.000 0.000 4.291 0.000 0.000 0.000 11.504" Properties=species:S:1:pos:R:3 comment="Ce2ScGa4Au3 | Alexandria | GGA-PBE | optimized geometry" energy_ev_per_atom=-4.616 dos_ef_per_ev_atom=1.3952 magnetic_moment_mub_per_cell=1.22 pbc="T T T"
Ce 0.000 2.146 2.799
Ce 2.146 0.000 8.706
Sc 0.000 0.000 5.752
Ga 0.000 0.000 0.000
Ga 0.000 2.146 7.468
Ga 2.146 0.000 4.036
Ga 2.146 2.146 0.000
Au 0.000 2.146 9.992
Au 2.146 0.000 1.512
Au 2.146 2.146 5.752

---

9.
4
Lattice="0.000 3.559 3.559 3.559 0.000 3.559 3.559 3.559 0.000" Properties=species:S:1:pos:R:3 comment="CeScGaAu | Alexandria | GGA-PBE | optimized geometry" energy_ev_per_atom=-5.191 dos_ef_per_ev_atom=2.2124 magnetic_moment_mub_per_cell=0.93 pbc="T T T"
Ce 0.000 0.000 0.000
Sc 3.559 3.559 3.559
Ga 1.780 1.780 1.780
Au 5.339 5.339 5.339

---

10.
12
Lattice="6.383 0.000 0.000 -3.192 5.528 0.000 0.000 0.000 7.951" Properties=species:S:1:pos:R:3 comment="Ce3GaSi2Au6 | Alexandria | GGA-PBE | optimized geometry" energy_ev_per_atom=-4.623 dos_ef_per_ev_atom=2.0940 magnetic_moment_mub_per_cell=3.26 raw_formation_energy_ev_per_fu=-4.14 pbc="T T T"
Ce 0.000 0.000 0.000
Ce 0.000 3.685 5.301
Ce 3.192 1.843 2.650
Ga 0.000 0.000 3.975
Si 0.000 3.685 0.453
Si 3.192 1.843 7.498
Au 0.000 1.978 2.294
Au -1.478 4.539 2.294
Au 1.713 0.989 5.657
Au 1.478 4.539 2.294
Au 4.670 0.989 5.657
Au 3.192 3.550 5.657

---

11.
10
Lattice="4.468 0.000 0.000 0.000 4.468 0.000 0.000 0.000 10.262" Properties=species:S:1:pos:R:3 comment="Ce2Ga3SiAu4 | Alexandria | GGA-PBE | optimized geometry" energy_ev_per_atom=-4.513 dos_ef_per_ev_atom=1.4314 magnetic_moment_mub_per_cell=1.64 raw_formation_energy_ev_per_fu=-5.65 pbc="T T T"
Ce 0.000 2.234 2.523
Ce 2.234 0.000 7.739
Ga 0.000 0.000 0.000
Ga 0.000 2.234 6.503
Ga 2.234 0.000 3.758
Si 2.234 2.234 0.000
Au 0.000 0.000 5.131
Au 0.000 2.234 9.012
Au 2.234 0.000 1.250
Au 2.234 2.234 5.131

---

12.
7
Lattice="2.241 1.294 9.082 -2.241 1.294 9.082 0.000 -2.587 9.082" Properties=species:S:1:pos:R:3 comment="Ce2SmGa2Au2 | Alexandria | GGA-PBE | optimized geometry" energy_ev_per_atom=-4.790 dos_ef_per_ev_atom=1.3019 magnetic_moment_mub_per_cell=0.93 pbc="T T T"
Ce 0.000 0.000 3.815
Ce 0.000 0.000 23.429
Sm 0.000 0.000 0.000
Ga 0.000 0.000 7.061
Ga 0.000 0.000 20.183
Au 0.000 0.000 11.001
Au 0.000 0.000 16.244

---

13.
10
Lattice="5.487 0.000 0.000 2.687 6.325 0.000 2.723 -0.861 6.455" Properties=species:S:1:pos:R:3 comment="Ce2GaSnAu6 | Alexandria | GGA-PBE | optimized geometry" energy_ev_per_atom=-4.275 dos_ef_per_ev_atom=1.5345 magnetic_moment_mub_per_cell=1.93 pbc="T T T"
Ce 2.726 1.411 1.590
Ce 8.170 4.052 4.865
Ga 5.448 2.732 3.227
Sn 0.000 0.000 0.000
Au 4.040 4.816 2.141
Au 5.427 2.763 5.868
Au 4.105 0.604 4.316
Au 6.791 4.859 2.139
Au 5.469 2.701 0.587
Au 6.856 0.647 4.314

---

14.
9
Lattice="4.575 0.000 0.000 0.000 4.575 0.000 0.000 0.000 8.801" Properties=species:S:1:pos:R:3 comment="CeGa2SnAu5 | Alexandria | GGA-PBE | optimized geometry" energy_ev_per_atom=-3.965 dos_ef_per_ev_atom=1.0152 magnetic_moment_mub_per_cell=0.99 pbc="T T T"
Ce 0.000 0.000 0.000
Ga 2.288 2.288 1.232
Ga 2.288 2.288 7.569
Sn 0.000 0.000 4.401
Au 0.000 2.288 2.433
Au 0.000 2.288 6.368
Au 2.288 0.000 2.433
Au 2.288 0.000 6.368
Au 2.288 2.288 4.401

---

15.
6
Lattice="4.694 0.000 0.000 -2.347 4.065 0.000 0.000 0.000 6.683" Properties=species:S:1:pos:R:3 comment="CeGa2SnAu2 | Alexandria | GGA-PBE | optimized geometry" energy_ev_per_atom=-4.233 dos_ef_per_ev_atom=0.7346 magnetic_moment_mub_per_cell=0.25 pbc="T T T"
Ce 0.000 0.000 0.000
Ga 0.000 2.710 5.137
Ga 2.347 1.355 1.546
Sn 0.000 0.000 3.342
Au 0.000 2.710 1.674
Au 2.347 1.355 5.009

---

16.
12
Lattice="6.127 0.000 0.000 -3.064 5.306 0.000 0.000 0.000 8.797" Properties=species:S:1:pos:R:3 comment="Ce3Ga2SnAu6 | Alexandria | GGA-PBE | optimized geometry" energy_ev_per_atom=-4.364 dos_ef_per_ev_atom=2.0461 magnetic_moment_mub_per_cell=3.10 pbc="T T T"
Ce 0.000 0.000 0.000
Ce 0.000 3.537 5.545
Ce 3.064 1.769 3.252
Ga 0.000 3.537 0.098
Ga 3.064 1.769 8.699
Sn 0.000 0.000 4.398
Au 0.000 1.898 2.325
Au -1.420 4.357 2.325
Au 1.644 0.949 6.472
Au 1.420 4.357 2.325
Au 4.483 0.949 6.472
Au 3.064 3.408 6.472

---

17.
4
Lattice="0.000 3.764 3.764 3.764 0.000 3.764 3.764 3.764 0.000" Properties=species:S:1:pos:R:3 comment="SrCeGaAu | Alexandria | GGA-PBE | optimized geometry" energy_ev_per_atom=-3.961 dos_ef_per_ev_atom=1.9166 magnetic_moment_mub_per_cell=0.65 pbc="T T T"
Sr 0.000 0.000 0.000
Ce 3.764 3.764 3.764
Ga 5.646 5.646 5.646
Au 1.882 1.882 1.882

---

18.
18
Lattice="3.479 2.009 10.288 -3.479 2.009 10.288 0.000 -4.017 10.288" Properties=species:S:1:pos:R:3 comment="Sr2CeGa3Au12 | Alexandria | GGA-PBE | optimized geometry" energy_ev_per_atom=-3.483 dos_ef_per_ev_atom=0.6116 magnetic_moment_mub_per_cell=0.63 pbc="T T T"
Sr 0.000 0.000 4.220
Sr 0.000 0.000 26.645
Ce 0.000 0.000 15.432
Ga -1.740 -1.004 10.288
Ga -1.740 1.004 20.576
Ga 0.000 2.009 10.288
Au -1.987 -1.147 13.596
Au 0.000 -2.381 8.953
Au -2.062 1.191 8.953
Au -2.062 -1.191 21.912
Au 0.000 -2.295 17.269
Au -1.987 1.147 17.269
Au 1.987 -1.147 13.596
Au 0.000 2.295 13.596
Au 2.062 1.191 8.953
Au 2.062 -1.191 21.912
Au 0.000 2.381 21.912
Au 1.987 1.147 17.269

---

19.
4
Lattice="0.000 3.705 3.705 3.705 0.000 3.705 3.705 3.705 0.000" Properties=species:S:1:pos:R:3 comment="CeThGaAu | Alexandria | GGA-PBE | optimized geometry" energy_ev_per_atom=-5.366 e_above_lowest_polymorph_mev_per_atom=71 dos_ef_per_ev_atom=2.0991 magnetic_moment_mub_per_cell=1.85 pbc="T T T"
Ce 0.000 0.000 0.000
Th 3.705 3.705 3.705
Ga 1.852 1.852 1.852
Au 5.557 5.557 5.557

---

20.
4
Lattice="4.380 0.000 0.000 0.000 2.099 5.635 0.000 -2.099 5.635" Properties=species:S:1:pos:R:3 comment="CeThGaAu | Alexandria | GGA-PBE | optimized geometry" energy_ev_per_atom=-5.437 e_above_lowest_polymorph_mev_per_atom=0 dos_ef_per_ev_atom=1.8876 magnetic_moment_mub_per_cell=1.07 pbc="T T T"
Ce 0.000 0.000 0.000
Th 2.190 0.000 8.020
Ga 0.000 0.000 3.130
Au 2.190 0.000 4.864